Record 1
First-principles (PBE) data for a relaxed structure of Na2IrPt, as listed in Alexandria.

Properties
- energy of formation (meV/atom) = 693

Unit cell a=4.6077 b=4.6077 c=4.6077 alpha=60.00 beta=60.00 gamma=60.00
Atoms (fractional coordinates):
Na 0.2500 0.2500 0.2500
Na 0.7500 0.7500 0.7500
Ir 0.0000 0.0000 0.0000
Pt 0.5000 0.5000 0.5000

Record 2
First-principles (PBE) data for a relaxed structure of SmHoGe2, as listed in Alexandria.

Properties
- energy of formation (meV/atom) = -605

Unit cell a=3.2438 b=5.3565 c=5.3565 alpha=90.00 beta=90.00 gamma=90.00
Atoms (fractional coordinates):
Ge 0.0000 0.0000 0.5000
Ge 0.0000 0.5000 0.0000
Ho 0.5000 0.0000 0.0000
Sm 0.5000 0.5000 0.5000

Record 3
First-principles (PBE) data for a relaxed structure of K2Sb3Pd5, as listed in Alexandria.

Properties
- formation energy from raw total energies (eV per atom) = -0.385

Unit cell a=6.6609 b=9.0215 c=9.0215 alpha=75.39 beta=111.59 gamma=111.59
Atoms (fractional coordinates):
K 0.8678 0.6016 0.1343
K 0.3678 0.1343 0.6016
K 0.1322 0.3984 0.8657
K 0.6322 0.8657 0.3984
Sb 0.6373 0.5296 0.7448
Sb 0.1373 0.7448 0.5296
Sb 0.3627 0.4704 0.2552
Sb 0.8627 0.2552 0.4704
Sb 0.2500 0.0006 0.9994
Sb 0.7500 0.9994 0.0006
Pd 0.6047 0.2574 0.9506
Pd 0.1047 0.9506 0.2574
Pd 0.3953 0.7426 0.0494
Pd 0.8953 0.0494 0.7426
Pd 0.0204 0.7709 0.7709
Pd 0.9796 0.2291 0.2291
Pd 0.7500 0.5006 0.4995
Pd 0.2500 0.4994 0.5005
Pd 0.4796 0.2291 0.2291
Pd 0.5204 0.7709 0.7709

Record 4
First-principles (PBE) data for a relaxed structure of Pm3AlGa2, as listed in Alexandria.

Properties
- energy of formation (meV/atom) = -459

Unit cell a=4.1883 b=4.6695 c=8.5037 alpha=105.85 beta=104.19 gamma=90.00
Atoms (fractional coordinates):
Pm 0.5000 0.5000 0.0000
Pm 0.8217 0.3225 0.6439
Pm 0.1783 0.6775 0.3561
Al 0.0000 0.0000 0.0000
Ga 0.3719 0.8730 0.7447
Ga 0.6281 0.1270 0.2553

Record 5
First-principles (PBE) data for a relaxed structure of ScSn3Te, as listed in Alexandria.

Properties
- formation energy from raw total energies (eV per atom) = 0.342

Unit cell a=5.5700 b=5.5700 c=5.5700 alpha=90.00 beta=90.00 gamma=90.00
Atoms (fractional coordinates):
Sc 0.0000 0.0000 0.0000
Te 0.5000 0.5000 0.5000
Sn 0.0000 0.5000 0.0000
Sn 0.0000 0.0000 0.5000
Sn 0.5000 0.0000 0.0000

Record 6
First-principles (PBE) data for a relaxed structure of NaScCdIr2, as listed in Alexandria.

Properties
- energy of formation (meV/atom) = 1110

Unit cell a=4.7054 b=4.4734 c=4.7054 alpha=90.00 beta=90.00 gamma=90.00
Atoms (fractional coordinates):
Sc 0.5000 0.5000 0.5000
Na 0.0000 0.0000 0.0000
Ir 0.0000 0.0000 0.5000
Ir 0.5000 0.0000 0.0000
Cd 0.0000 0.5000 0.0000

Record 7
First-principles (PBE) data for a relaxed structure of CsKV3, as listed in Alexandria.

Properties
- energy of formation (meV/atom) = 2606

Unit cell a=5.1860 b=5.1860 c=5.1860 alpha=90.00 beta=90.00 gamma=90.00
Site moments in Bohr magnetons follow the coordinates.
Atoms (fractional coordinates):
Cs 0.0000 0.0000 0.0000  0.00
K 0.5000 0.5000 0.5000  0.01
V 0.0000 0.5000 0.0000  2.04
V 0.0000 0.0000 0.5000  2.04
V 0.5000 0.0000 0.0000  2.04

Record 8
First-principles (PBE) data for a relaxed structure of BRhSe2Br, as listed in Alexandria.

Properties
- formation energy from raw total energies (eV per atom) = 0.987

Unit cell a=4.4733 b=4.4733 c=4.4149 alpha=90.00 beta=90.00 gamma=90.00
Site moments in Bohr magnetons follow the coordinates.
Atoms (fractional coordinates):
B 0.0000 0.0000 0.0000  0.00
Rh 0.5000 0.5000 0.5000  0.20
Se 0.0000 0.5000 0.0000  0.01
Se 0.5000 0.0000 0.0000  0.01
Br 0.0000 0.0000 0.5000  0.03

Record 9
First-principles (PBE) data for a relaxed structure of NaNiBi2, as listed in Alexandria.

Properties
- energy of formation (meV/atom) = -98

Unit cell a=4.0012 b=4.0012 c=8.0789 alpha=75.66 beta=75.66 gamma=60.00
Atoms (fractional coordinates):
Ni 0.0000 0.0000 0.0000
Bi 0.2757 0.2757 0.1728
Bi 0.7243 0.7243 0.8272
Na 0.5000 0.5000 0.5000

Record 10
First-principles (PBE) data for a relaxed structure of YTi2BeBi, as listed in Alexandria.

Properties
- energy of formation (meV/atom) = 340

Unit cell a=4.6287 b=4.9973 c=4.6287 alpha=90.00 beta=90.00 gamma=90.00
Site moments in Bohr magnetons follow the coordinates.
Atoms (fractional coordinates):
Y 0.5000 0.5000 0.5000  0.25
Be 0.0000 0.0000 0.0000  -0.01
Bi 0.0000 0.5000 0.0000  -0.04
Ti 0.0000 0.0000 0.5000  0.59
Ti 0.5000 0.0000 0.0000  0.55

Record 11
First-principles (PBE) data for a relaxed structure of BeCo2Tc, as listed in Alexandria.

Properties
- energy of formation (meV/atom) = -40

Unit cell a=4.3640 b=4.3640 c=4.3640 alpha=133.16 beta=133.16 gamma=68.41
Atoms (fractional coordinates):
Be 0.7500 0.2500 0.5000
Co 0.0000 0.0000 0.0000
Co 0.5000 0.5000 0.0000
Tc 0.2500 0.7500 0.5000